1.
An optimized crystal structure of IrRuN2O, computed with GGA-PBE.

Summary:
The uncorrected formation energy is 1360 meV/atom. The value obtained for the final energy is -6.589 eV/atom. For the density of states at the Fermi level, the calculation gives 5.03 states/eV per cell. For the volume, the calculation gives 57.4 Å³ per cell.

a = 3.8270 Å, b = 3.8270 Å, c = 3.9194 Å
α = 90.00°, β = 90.00°, γ = 90.00°
Closest atoms and distances in Å follow each position.
Positions (direct):
Ir 0.0000 0.0000 0.0000  4 O 2.71, 8 N 2.74
Ru 0.5000 0.5000 0.5000  4 N 1.91, 2 O 1.96
N 0.0000 0.5000 0.5000  2 Ru 1.91
N 0.5000 0.0000 0.5000  2 Ru 1.91
O 0.5000 0.5000 0.0000  2 Ru 1.96


2.
An optimized crystal structure of Nd4ErAs5, computed with GGA-PBE.

Summary:
As for the energy of formation from the pure elements: -1503.7 meV per atom. The value obtained for the final energy is -6.192 eV/atom. For the density of states at the Fermi level, the calculation gives 0.64 states/eV per cell. For the volume, the calculation gives 269.1 Å³ per cell.

a = 7.3392 Å, b = 7.3392 Å, c = 7.3392 Å
α = 99.61°, β = 99.61°, γ = 131.77°
Closest atoms and distances in Å follow each position.
Positions (direct):
Nd 0.0984 0.7002 0.7986  6 As 2.99-3.04
Nd 0.2998 0.0984 0.3982  6 As 2.99-3.04
Nd 0.7002 0.9016 0.6018  6 As 2.99-3.04
Nd 0.9016 0.2998 0.2014  6 As 2.99-3.04
Er 0.5000 0.5000 0.0000  6 As 2.94-3.00
As 0.0000 0.0000 0.0000  4 Nd 2.99, 2 Er 3.00
As 0.2059 0.4018 0.6077  1 Er 2.94, 5 Nd 3.00-3.04
As 0.4018 0.7941 0.1960  1 Er 2.94, 5 Nd 3.00-3.04
As 0.5982 0.2059 0.8040  1 Er 2.94, 5 Nd 3.00-3.04
As 0.7941 0.5982 0.3923  1 Er 2.94, 5 Nd 3.00-3.04


3.
An optimized crystal structure of CeHoGaGe, computed with GGA-PBE.

Summary:
As for the energy of formation from the pure elements: -679.2 meV per atom. The value obtained for the final energy is -5.218 eV/atom. For the density of states at the Fermi level, the calculation gives 7.02 states/eV per cell. For the volume, the calculation gives 96.3 Å³ per cell.

a = 4.0328 Å, b = 5.8996 Å, c = 5.8996 Å
α = 43.33°, β = 90.00°, γ = 90.00°
Closest atoms and distances in Å follow each position.
Positions (direct):
Ce 0.0000 0.0000 0.0000  3 Ge 3.06-3.26, 4 Ga 3.06
Ho 0.5000 0.2810 0.2810  4 Ge 3.04, 3 Ga 3.14-3.20
Ga 0.5000 0.5673 0.5673  2 Ge 2.63
Ge 0.0000 0.7211 0.7211  2 Ga 2.63


4.
An optimized crystal structure of AcPaTe4, computed with GGA-PBE.

Summary:
The uncorrected formation energy is -916 meV/atom. The value obtained for the final energy is -5.277 eV/atom. For the density of states at the Fermi level, the calculation gives 8.63 states/eV per cell. For the volume, the calculation gives 406.2 Å³ per cell.

a = 7.0714 Å, b = 7.0714 Å, c = 8.1226 Å
α = 90.00°, β = 90.00°, γ = 90.00°
Closest atoms and distances in Å follow each position.
Positions (direct):
Ac 0.0000 0.0000 0.0000  8 Te 3.42
Ac 0.5000 0.5000 0.0000  8 Te 3.42
Pa 0.0000 0.0000 0.5000  8 Te 3.18
Pa 0.5000 0.5000 0.5000  8 Te 3.18
Te 0.1801 0.3199 0.2734  2 Pa 3.18, 2 Ac 3.42
Te 0.1801 0.3199 0.7266  2 Pa 3.18, 2 Ac 3.42
Te 0.3199 0.8199 0.2734  2 Pa 3.18, 2 Ac 3.42
Te 0.3199 0.8199 0.7266  2 Pa 3.18, 2 Ac 3.42
Te 0.6801 0.1801 0.2734  2 Pa 3.18, 2 Ac 3.42
Te 0.6801 0.1801 0.7266  2 Pa 3.18, 2 Ac 3.42
Te 0.8199 0.6801 0.2734  2 Pa 3.18, 2 Ac 3.42
Te 0.8199 0.6801 0.7266  2 Pa 3.18, 2 Ac 3.42


5.
An optimized crystal structure of Y2PdAu, computed with GGA-PBE.

Summary:
As for the energy of formation from the pure elements: 139.3 meV per atom. The value obtained for the final energy is -5.210 eV/atom. For the density of states at the Fermi level, the calculation gives 1.74 states/eV per cell. For the volume, the calculation gives 97.6 Å³ per cell.

a = 6.3606 Å, b = 6.3606 Å, c = 6.3606 Å
α = 150.54°, β = 129.00°, γ = 60.00°
Closest atoms and distances in Å follow each position.
Positions (direct):
Y 0.2415 0.2415 0.0000  1 Pd 2.66, 1 Au 2.85
Y 0.7585 0.7585 0.0000  1 Pd 2.66, 1 Au 2.85
Pd 0.0000 0.0000 0.0000  2 Y 2.66
Au 0.5000 0.5000 0.0000  2 Y 2.85, 4 Pd 3.18


6.
An optimized crystal structure of Ca3GeP3, computed with GGA-PBE.

Summary:
As for the energy of formation from the pure elements: -724.2 meV per atom. The value obtained for the final energy is -4.560 eV/atom. For the density of states at the Fermi level, the calculation gives 6.13 states/eV per cell. For the volume, the calculation gives 160.0 Å³ per cell.

a = 5.9530 Å, b = 5.9530 Å, c = 5.9530 Å
α = 109.86°, β = 109.86°, γ = 109.86°
Closest atoms and distances in Å follow each position.
Positions (direct):
Ca 0.1902 0.1902 0.6196  6 P 2.92-3.18, 1 Ge 3.15
Ca 0.1902 0.6196 0.1902  6 P 2.92-3.18, 1 Ge 3.15
Ca 0.6196 0.1902 0.1902  6 P 2.92-3.18, 1 Ge 3.15
Ge 0.6787 0.6787 0.6787  3 P 2.41
P 0.0990 0.7021 0.7021  1 Ge 2.41
P 0.7021 0.0990 0.7021  1 Ge 2.41
P 0.7021 0.7021 0.0990  1 Ge 2.41


7.
An optimized crystal structure of HgMo2W, computed with GGA-PBE.

Summary:
As for the energy of formation from the pure elements: 440.2 meV per atom. The value obtained for the final energy is -8.289 eV/atom. For the density of states at the Fermi level, the calculation gives 2.20 states/eV per cell. For the volume, the calculation gives 68.8 Å³ per cell.

a = 2.7813 Å, b = 4.3362 Å, c = 5.7523 Å
α = 90.00°, β = 97.41°, γ = 90.00°
Closest atoms and distances in Å follow each position.
Positions (direct):
Hg 0.0000 0.0000 0.0000  2 Hg 2.78, 2 W 2.88, 8 Mo 3.01-3.03
Mo 0.4162 0.5000 0.7230  3 Mo 2.67-2.78, 2 W 2.70
Mo 0.5838 0.5000 0.2770  3 Mo 2.67-2.78, 2 W 2.70
W 0.0000 0.0000 0.5000  4 Mo 2.70, 2 W 2.78, 2 Hg 2.88


8.
An optimized crystal structure of Pr3ZnCd2, computed with GGA-PBE.

Summary:
As for the energy of formation from the pure elements: -302.3 meV per atom. The value obtained for the final energy is -3.209 eV/atom. For the density of states at the Fermi level, the calculation gives 14.38 states/eV per cell. For the volume, the calculation gives 336.7 Å³ per cell.

a = 5.4117 Å, b = 5.4117 Å, c = 13.2738 Å
α = 90.00°, β = 90.00°, γ = 120.00°
Closest atoms and distances in Å follow each position.
Positions (direct):
Pr 0.0000 0.0000 0.2443  5 Cd 3.24-3.39, 3 Zn 3.30
Pr 0.0000 0.0000 0.7557  5 Cd 3.24-3.39, 3 Zn 3.30
Pr 0.3333 0.6667 0.4098  1 Zn 3.27, 7 Cd 3.28-3.38
Pr 0.3333 0.6667 0.9160  4 Zn 3.28-3.30, 4 Cd 3.32-3.34
Pr 0.6667 0.3333 0.0840  4 Zn 3.28-3.30, 4 Cd 3.32-3.34
Pr 0.6667 0.3333 0.5902  1 Zn 3.27, 7 Cd 3.28-3.38
Zn 0.3333 0.6667 0.1633  8 Pr 3.27-3.30
Zn 0.6667 0.3333 0.8367  8 Pr 3.27-3.30
Cd 0.0000 0.0000 0.0000  8 Pr 3.24-3.32
Cd 0.0000 0.0000 0.5000  8 Pr 3.35-3.39
Cd 0.3333 0.6667 0.6642  8 Pr 3.28-3.38
Cd 0.6667 0.3333 0.3358  8 Pr 3.28-3.38


9.
An optimized crystal structure of Pr2GaSi2Ir5, computed with GGA-PBE.

Summary:
The uncorrected formation energy is -653 meV/atom. The value obtained for the final energy is -7.427 eV/atom. For the density of states at the Fermi level, the calculation gives 6.03 states/eV per cell. For the volume, the calculation gives 348.4 Å³ per cell.

a = 9.8981 Å, b = 9.8981 Å, c = 3.5559 Å
α = 90.00°, β = 90.00°, γ = 90.00°
Closest atoms and distances in Å follow each position.
Positions (direct):
Pr 0.1769 0.3231 0.0000  3 Si 2.81-3.01, 6 Ir 3.05-3.13
Pr 0.3231 0.8231 0.0000  3 Si 2.81-3.01, 6 Ir 3.05-3.13
Pr 0.6769 0.1769 0.0000  3 Si 2.81-3.01, 6 Ir 3.05-3.13
Pr 0.8231 0.6769 0.0000  3 Si 2.81-3.01, 6 Ir 3.05-3.13
Ga 0.0000 0.0000 0.0000  8 Ir 2.84
Ga 0.5000 0.5000 0.0000  8 Ir 2.84
Si 0.1223 0.6223 0.0000  6 Ir 2.47
Si 0.3777 0.1223 0.0000  6 Ir 2.47
Si 0.6223 0.8777 0.0000  6 Ir 2.47
Si 0.8777 0.3777 0.0000  6 Ir 2.47
Ir 0.0000 0.5000 0.5000  4 Si 2.47
Ir 0.0655 0.7859 0.5000  2 Si 2.47
Ir 0.2141 0.0655 0.5000  2 Si 2.47
Ir 0.2859 0.5655 0.5000  2 Si 2.47
Ir 0.4345 0.2859 0.5000  2 Si 2.47
Ir 0.5000 0.0000 0.5000  4 Si 2.47
Ir 0.5655 0.7141 0.5000  2 Si 2.47
Ir 0.7141 0.4345 0.5000  2 Si 2.47
Ir 0.7859 0.9345 0.5000  2 Si 2.47
Ir 0.9345 0.2141 0.5000  2 Si 2.47


10.
An optimized crystal structure of Nd2Y6HoSc, computed with GGA-PBE.

Summary:
As for the energy of formation from the pure elements: 118.9 meV per atom. The value obtained for the final energy is -5.804 eV/atom. For the density of states at the Fermi level, the calculation gives 27.75 states/eV per cell. For the volume, the calculation gives 643.1 Å³ per cell.

a = 8.6944 Å, b = 8.6944 Å, c = 9.7003 Å
α = 95.09°, β = 95.09°, γ = 117.13°
Closest atoms and distances in Å follow each position.
Positions (direct):
Nd 0.1970 0.2943 0.0473  5 Y 3.21-3.53, 2 Ho 3.36, 1 Sc 3.46
Nd 0.2943 0.1970 0.5473  5 Y 3.21-3.53, 2 Ho 3.36, 1 Sc 3.46
Nd 0.7057 0.8030 0.4527  5 Y 3.21-3.53, 2 Ho 3.36, 1 Sc 3.46
Nd 0.8030 0.7057 0.9527  5 Y 3.21-3.53, 2 Ho 3.36, 1 Sc 3.46
Y 0.0092 0.5723 0.1904  3 Y 3.30-3.60, 1 Sc 3.37, 1 Nd 3.39, 1 Ho 3.53
Y 0.1240 0.7451 0.5572  8 Y 3.43-3.79, 1 Nd 3.53, 1 Ho 3.59, 1 Sc 3.75
Y 0.2549 0.8760 0.9428  8 Y 3.43-3.79, 1 Nd 3.53, 1 Ho 3.59, 1 Sc 3.75
Y 0.2977 0.5040 0.3846  3 Nd 3.21-3.43, 4 Y 3.30-3.49, 2 Sc 3.35-3.51
Y 0.4277 0.9908 0.3096  3 Y 3.30-3.60, 1 Sc 3.37, 1 Nd 3.39, 1 Ho 3.53
Y 0.4960 0.7023 0.1154  3 Nd 3.21-3.43, 4 Y 3.30-3.49, 2 Sc 3.35-3.51
Y 0.5040 0.2977 0.8846  3 Nd 3.21-3.43, 4 Y 3.30-3.49, 2 Sc 3.35-3.51
Y 0.5723 0.0092 0.6904  3 Y 3.30-3.60, 1 Sc 3.37, 1 Nd 3.39, 1 Ho 3.53
Y 0.7023 0.4960 0.6154  3 Nd 3.21-3.43, 4 Y 3.30-3.49, 2 Sc 3.35-3.51
Y 0.7451 0.1240 0.0572  8 Y 3.43-3.79, 1 Nd 3.53, 1 Ho 3.59, 1 Sc 3.75
Y 0.8760 0.2549 0.4428  8 Y 3.43-3.79, 1 Nd 3.53, 1 Ho 3.59, 1 Sc 3.75
Y 0.9908 0.4277 0.8096  3 Y 3.30-3.60, 1 Sc 3.37, 1 Nd 3.39, 1 Ho 3.53
Ho 0.0172 0.9828 0.2500  4 Nd 3.36, 4 Y 3.53-3.59
Ho 0.9828 0.0172 0.7500  4 Nd 3.36, 4 Y 3.53-3.59
Sc 0.4088 0.5912 0.7500  8 Y 3.35-3.75, 2 Nd 3.46
Sc 0.5912 0.4088 0.2500  8 Y 3.35-3.75, 2 Nd 3.46


11.
An optimized crystal structure of Pb2SeCl2F, computed with GGA-PBE.

Summary:
The uncorrected formation energy is -1221 meV/atom. The value obtained for the final energy is -3.965 eV/atom. For the density of states at the Fermi level, the calculation gives 1.10 states/eV per cell. For the volume, the calculation gives 311.2 Å³ per cell.

a = 8.6758 Å, b = 8.6758 Å, c = 8.6758 Å
α = 126.72°, β = 66.70°, γ = 142.90°
Closest atoms and distances in Å follow each position.
Positions (direct):
Pb 0.1114 0.1915 0.3029  2 F 2.59
Pb 0.3886 0.6915 0.0801  2 F 2.59
Pb 0.6114 0.3085 0.9199  2 F 2.59
Pb 0.8886 0.8085 0.6971  2 F 2.59
Se 0.2500 0.7500 0.5000  2 Se 2.76
Se 0.7500 0.2500 0.5000  2 Se 2.76
Cl 0.1949 0.8460 0.0409  4 Pb 2.95-3.05
Cl 0.3051 0.3460 0.6511  4 Pb 2.95-3.05
Cl 0.6949 0.6540 0.3489  4 Pb 2.95-3.05
Cl 0.8051 0.1540 0.9591  4 Pb 2.95-3.05
F 0.2500 0.2500 0.0000  4 Pb 2.59, 2 F 2.76
F 0.7500 0.7500 0.0000  4 Pb 2.59, 2 F 2.76


12.
An optimized crystal structure of Li2MgCd5, computed with GGA-PBE.

Summary:
As for the energy of formation from the pure elements: -81.5 meV per atom. The value obtained for the final energy is -1.331 eV/atom. For the density of states at the Fermi level, the calculation gives 5.28 states/eV per cell. For the volume, the calculation gives 352.9 Å³ per cell.

a = 7.3323 Å, b = 7.3323 Å, c = 10.5254 Å
α = 90.00°, β = 90.00°, γ = 141.42°
Closest atoms and distances in Å follow each position.
Positions (direct):
Li 0.2172 0.7828 0.5736  5 Cd 2.94-3.07, 2 Li 3.02, 2 Mg 3.10
Li 0.2172 0.7828 0.9264  5 Cd 2.94-3.07, 2 Li 3.02, 2 Mg 3.10
Li 0.7828 0.2172 0.0736  5 Cd 2.94-3.07, 2 Li 3.02, 2 Mg 3.10
Li 0.7828 0.2172 0.4264  5 Cd 2.94-3.07, 2 Li 3.02, 2 Mg 3.10
Mg 0.2444 0.7556 0.2500  6 Cd 2.89-3.04, 4 Li 3.10
Mg 0.7556 0.2444 0.7500  6 Cd 2.89-3.04, 4 Li 3.10
Cd 0.0516 0.9484 0.1121  4 Cd 2.76-2.97, 1 Li 3.01, 1 Mg 3.04
Cd 0.0516 0.9484 0.3879  4 Cd 2.76-2.97, 1 Li 3.01, 1 Mg 3.04
Cd 0.3815 0.6185 0.7500  2 Li 2.94, 4 Cd 2.97, 2 Mg 2.98
Cd 0.4066 0.5934 0.0774  1 Mg 2.89, 3 Li 2.97-3.07, 5 Cd 3.06-3.19
Cd 0.4066 0.5934 0.4226  1 Mg 2.89, 3 Li 2.97-3.07, 5 Cd 3.06-3.19
Cd 0.5934 0.4066 0.5774  1 Mg 2.89, 3 Li 2.97-3.07, 5 Cd 3.06-3.19
Cd 0.5934 0.4066 0.9226  1 Mg 2.89, 3 Li 2.97-3.07, 5 Cd 3.06-3.19
Cd 0.6185 0.3815 0.2500  2 Li 2.94, 4 Cd 2.97, 2 Mg 2.98
Cd 0.9484 0.0516 0.6121  4 Cd 2.76-2.97, 1 Li 3.01, 1 Mg 3.04
Cd 0.9484 0.0516 0.8879  4 Cd 2.76-2.97, 1 Li 3.01, 1 Mg 3.04


- Which of these has the lowest final energy?
  HgMo2W


- What is the formula in the eighth record?
  Pr3ZnCd2


- Among the records above, which one has the highest volume?
  Nd2Y6HoSc


- Which value of volume does entry 4 give?
  406.2 Å³ per cell